{"formula": "InHIN2", "functional": "PBE-GGA", "state": "relaxed", "e_above_lowest_polymorph_mev_per_atom": 246, "spacegroup": "No. 123", "cell": [[4.473, 0.000, 0.000], [0.000, 4.473, 0.000], [0.000, 0.000, 3.655]], "species": ["N", "In", "H", "N", "I"], "fractional_positions": [[0.000, 0.500, 0.000], [0.500, 0.500, 0.500], [0.000, 0.000, 0.000], [0.500, 0.000, 0.000], [0.000, 0.000, 0.500]]}

***

{"formula": "InHI2N", "functional": "PBE-GGA", "state": "relaxed", "e_above_lowest_polymorph_mev_per_atom": 0, "spacegroup": "No. 123", "cell": [[6.729, 0.000, 0.000], [0.000, 6.729, 0.000], [0.000, 0.000, 2.990]], "species": ["In", "N", "H", "I", "I"], "fractional_positions": [[0.500, 0.500, 0.500], [0.000, 0.000, 0.500], [0.000, 0.000, 0.000], [0.500, 0.000, 0.000], [0.000, 0.500, 0.000]]}

***

{"formula": "InHIN2", "functional": "PBE-GGA", "state": "relaxed", "e_above_lowest_polymorph_mev_per_atom": 0, "spacegroup": "No. 123", "cell": [[-3.899, 0.661, 1.859], [0.822, -3.199, 2.861], [2.747, 4.445, 4.181]], "species": ["H", "I", "N", "In", "N"], "fractional_positions": [[0.500, 0.500, 0.500], [0.000, 0.000, 0.500], [0.000, 0.500, 0.000], [0.000, 0.000, 0.000], [0.500, 0.000, 0.000]]}

***

{"formula": "NaInHI2", "functional": "PBE-GGA", "state": "relaxed", "total_energy_ev_per_fu": -12.836, "spacegroup": "No. 123", "cell": [[-2.363, -1.324, 5.614], [0.124, -6.077, -1.381], [3.739, -0.267, 1.510]], "species": ["In", "I", "I", "H", "Na"], "fractional_positions": [[0.000, 0.000, 0.000], [0.500, 0.000, 0.000], [0.000, 0.500, 0.000], [0.000, 0.000, 0.500], [0.500, 0.500, 0.500]]}

***

So what do the calculations give for total moment? Going down the list: 2.32; 1.95; 4.13; 0.00 μB per formula unit.